1.
# Pu2UPa3As6

A relaxed Pu2UPa3As6 crystal (PBE, Alexandria via LeMat-Bulk).

Calculated values
ΔE_f   -1004 meV/atom
DFT total energy   -0.6638 Ry/atom
Symmetry   No. 12
Density of states at the Fermi level   28.35 states/eV/f.u.
Crystal system   monoclinic

Cell and atoms, written as extended XYZ:
```
12
Lattice="8.9408 -2.0528 0.0000 8.9408 2.0528 0.0000 -1.8391 0.0000 8.0161" Properties=species:S:1:pos:R:3 pbc="T T T"
Pu 2.3600 0.0000 2.6707
Pu 13.6825 0.0000 5.3454
U 8.9408 0.0000 0.0000
Pa 1.4543 0.0000 6.6816
Pa 8.0213 0.0000 4.0081
Pa 14.5882 0.0000 1.3345
As -1.3630 0.0000 6.0135
As 4.2736 0.0000 7.3631
As 5.2049 0.0000 3.3241
As 10.8376 0.0000 4.6920
As 11.7689 0.0000 0.6530
As 17.4055 0.0000 2.0026
```


2.
# Hf2Al2ZnCo5

A relaxed Hf2Al2ZnCo5 crystal (PBE, Alexandria via LeMat-Bulk).

Calculated values
ΔE_f   -239 meV/atom
DFT total energy   -0.4894 Ry/atom
Symmetry   No. 127
Density of states at the Fermi level   3.80 states/eV/f.u.
Crystal system   tetragonal

Cell and atoms, written as extended XYZ:
```
20
Lattice="9.1659 0.0000 0.0000 0.0000 9.1659 0.0000 0.0000 0.0000 3.2647" Properties=species:S:1:pos:R:3 pbc="T T T"
Hf 1.6044 2.9786 0.0000
Hf 2.9786 7.5615 0.0000
Hf 6.1873 1.6044 0.0000
Hf 7.5615 6.1873 0.0000
Al 1.1277 5.7106 0.0000
Al 3.4553 1.1277 0.0000
Al 5.7106 8.0382 0.0000
Al 8.0382 3.4553 0.0000
Zn 0.0000 0.0000 0.0000
Zn 4.5829 4.5829 0.0000
Co 0.0000 4.5829 1.6324
Co 0.5746 7.2949 1.6324
Co 1.8710 0.5746 1.6324
Co 2.7119 5.1576 1.6324
Co 4.0083 2.7119 1.6324
Co 4.5829 0.0000 1.6324
Co 5.1576 6.4540 1.6324
Co 6.4540 4.0083 1.6324
Co 7.2949 8.5913 1.6324
Co 8.5913 1.8710 1.6324
```


3.
# Ta2RhCl

A relaxed Ta2RhCl crystal (PBE, Alexandria via LeMat-Bulk).

Calculated values
DFT total energy   -0.6063 Ry/atom
Energy relative to the elements, uncorrected   -0.023 eV/atom
Symmetry   No. 10
Density of states at the Fermi level   3.00 states/eV/f.u.
ΔE to the lowest computed polymorph   200 meV per atom
Crystal system   monoclinic

Cell and atoms, written as extended XYZ:
```
4
Lattice="2.8885 0.0000 0.0000 0.0000 3.8251 0.0000 -0.0158 0.0000 6.1862" Properties=species:S:1:pos:R:3 pbc="T T T"
Ta -0.0007 0.0000 1.4508
Ta 2.8734 0.0000 4.7355
Rh 1.4442 1.9126 0.0000
Cl -0.0079 1.9126 3.0931
```


4.
# LiAg5

A relaxed LiAg5 crystal (PBE, Alexandria via LeMat-Bulk).

Calculated values
ΔE_f   -57 meV/atom
DFT total energy   -0.2023 Ry/atom
Symmetry   No. 38
Density of states at the Fermi level   1.87 states/eV/f.u.
ΔE to the lowest computed polymorph   27 meV per atom
Crystal system   orthorhombic

Cell and atoms, written as extended XYZ:
```
6
Lattice="4.6766 0.0000 0.0000 0.0000 1.5184 7.3932 0.0000 -1.5184 7.3932" Properties=species:S:1:pos:R:3 pbc="T T T"
Li 0.0000 0.0000 0.0000
Ag 0.0000 0.0000 4.9520
Ag 0.0000 0.0000 9.8100
Ag 2.3383 0.0000 1.6913
Ag 2.3383 0.0000 6.6622
Ag 2.3383 0.0000 11.5874
```


5.
# Al4TcIr3

A relaxed Al4TcIr3 crystal (PBE, Alexandria via LeMat-Bulk).

Calculated values
ΔE_f   -819 meV/atom
DFT total energy   -0.5372 Ry/atom
Symmetry   No. 47
Density of states at the Fermi level   4.51 states/eV/f.u.
Crystal system   orthorhombic

Cell and atoms, written as extended XYZ:
```
8
Lattice="2.9988 0.0000 0.0000 0.0000 4.2875 0.0000 0.0000 0.0000 8.5874" Properties=species:S:1:pos:R:3 pbc="T T T"
Al 0.0000 0.0000 0.0000
Al 0.0000 0.0000 4.2937
Al 0.0000 2.1438 2.1258
Al 0.0000 2.1438 6.4616
Tc 1.4994 2.1438 0.0000
Ir 1.4994 0.0000 2.1876
Ir 1.4994 0.0000 6.3998
Ir 1.4994 2.1438 4.2937
```


6.
# ErTiCuAu

A relaxed ErTiCuAu crystal (PBE, Alexandria via LeMat-Bulk).

Calculated values
ΔE_f   -284 meV/atom
DFT total energy   -0.3853 Ry/atom
Symmetry   No. 216
Density of states at the Fermi level   4.39 states/eV/f.u.
Crystal system   cubic

Cell and atoms, written as extended XYZ:
```
4
Lattice="0.0000 3.3665 3.3665 3.3665 0.0000 3.3665 3.3665 3.3665 0.0000" Properties=species:S:1:pos:R:3 pbc="T T T"
Er 0.0000 0.0000 0.0000
Ti 3.3665 3.3665 3.3665
Cu 5.0497 5.0497 5.0497
Au 1.6832 1.6832 1.6832
```


7.
# Re3Te2

A relaxed Re3Te2 crystal (PBE, Alexandria via LeMat-Bulk).

Calculated values
DFT total energy   -0.5835 Ry/atom
Energy relative to the elements, uncorrected   0.787 eV/atom
Symmetry   No. 166
Density of states at the Fermi level   3.97 states/eV/f.u.
Crystal system   trigonal

Cell and atoms, written as extended XYZ:
```
5
Lattice="1.6896 0.9755 10.2475 -1.6896 0.9755 10.2475 0.0000 -1.9510 10.2475" Properties=species:S:1:pos:R:3 pbc="T T T"
Re 0.0000 0.0000 0.0000
Re 0.0000 0.0000 5.8267
Re 0.0000 0.0000 24.9158
Te 0.0000 0.0000 12.1981
Te 0.0000 0.0000 18.5444
```


8.
# Tb6Pm8In

A relaxed Tb6Pm8In crystal (PBE, Alexandria via LeMat-Bulk).

Calculated values
ΔE_f   73 meV/atom
DFT total energy   -0.3304 Ry/atom
Symmetry   No. 147
Density of states at the Fermi level   20.94 states/eV/f.u.
Crystal system   trigonal

Cell and atoms, written as extended XYZ:
```
15
Lattice="9.3413 0.0000 0.0000 -4.6707 8.0898 0.0000 0.0000 0.0000 6.5662" Properties=species:S:1:pos:R:3 pbc="T T T"
Tb -1.1903 3.6067 2.1953
Tb -0.9520 7.3172 2.1953
Tb 2.5284 2.8341 4.3710
Tb 2.1423 5.2557 2.1953
Tb 5.6227 0.7726 4.3710
Tb 5.8609 4.4831 4.3710
Pm -0.8902 2.1958 5.3901
Pm -2.3239 7.7628 5.3901
Pm 1.4565 1.8688 1.1761
Pm 0.0000 5.3932 5.6448
Pm 4.6707 2.6966 0.9215
Pm 3.2141 6.2210 5.3901
Pm 6.9946 0.3270 1.1761
Pm 5.5608 5.8940 1.1761
In 0.0000 0.0000 3.2831
```


9.
# BIr

A relaxed BIr crystal (PBE, Alexandria via LeMat-Bulk).

Calculated values
ΔE_f   76 meV/atom
DFT total energy   -0.5655 Ry/atom
Symmetry   No. 216
Density of states at the Fermi level   0.05 states/eV/f.u.
Crystal system   cubic

Cell and atoms, written as extended XYZ:
```
2
Lattice="0.0000 2.3646 2.3646 2.3646 0.0000 2.3646 2.3646 2.3646 0.0000" Properties=species:S:1:pos:R:3 pbc="T T T"
B 0.0000 0.0000 0.0000
Ir 3.5469 3.5469 3.5469
```


10.
# B2PbBr8

A relaxed B2PbBr8 crystal (PBE, Alexandria via LeMat-Bulk).

Calculated values
DFT total energy   -0.2465 Ry/atom
Energy relative to the elements, uncorrected   -0.586 eV/atom
Symmetry   No. 15
Density of states at the Fermi level   0.00 states/eV/f.u.
Crystal system   monoclinic

Cell and atoms, written as extended XYZ:
```
22
Lattice="9.3263 -5.0898 0.0000 9.3263 5.0898 0.0000 -5.2169 0.0000 8.5983" Properties=species:S:1:pos:R:3 pbc="T T T"
B 2.6087 2.6227 8.0276
B 8.2186 2.6227 4.8698
B 5.2172 -2.6227 3.7285
B 10.8271 -2.6227 0.5707
Pb 5.4137 4.7655 6.4487
Pb 8.0221 -4.7655 2.1496
Br 2.9260 1.0542 0.1725
Br 3.1018 2.7330 6.0358
Br 6.4855 3.1457 3.8041
Br 9.5588 3.1457 0.4951
Br 0.3175 -1.0542 4.4717
Br 2.0137 0.8226 8.5232
Br 7.7255 2.7330 6.8616
Br 4.6222 -0.8226 4.2241
Br 8.8136 0.8226 4.3742
Br 5.7103 -2.7330 1.7367
Br 11.4221 -0.8226 0.0751
Br 13.1183 1.0542 4.1266
Br 3.8770 -3.1457 8.1032
Br 6.9504 -3.1457 4.7942
Br 10.3340 -2.7330 2.5625
Br 10.5098 -1.0542 8.4258
```


11.
# ZrTi3

A relaxed ZrTi3 crystal (PBE, Alexandria via LeMat-Bulk).

Calculated values
ΔE_f   53 meV/atom
DFT total energy   -0.5883 Ry/atom
Symmetry   No. 25
Density of states at the Fermi level   3.66 states/eV/f.u.
Crystal system   orthorhombic

Cell and atoms, written as extended XYZ:
```
4
Lattice="3.0330 0.0000 0.0000 0.0000 4.7687 0.0000 0.0000 0.0000 5.2180" Properties=species:S:1:pos:R:3 pbc="T T T"
Zr 0.0000 0.0000 0.0000
Ti 0.0000 2.3844 3.3998
Ti 1.5165 0.0000 2.5933
Ti 1.5165 2.3844 0.8995
```


12.
# Ca4ScZn5

A relaxed Ca4ScZn5 crystal (PBE, Alexandria via LeMat-Bulk).

Calculated values
ΔE_f   -254 meV/atom
DFT total energy   -0.1709 Ry/atom
Symmetry   No. 123
Density of states at the Fermi level   7.36 states/eV/f.u.
Crystal system   tetragonal

Cell and atoms, written as extended XYZ:
```
10
Lattice="3.5851 0.0000 0.0000 0.0000 3.5851 0.0000 0.0000 0.0000 18.2303" Properties=species:S:1:pos:R:3 pbc="T T T"
Ca 0.0000 0.0000 1.8958
Ca 0.0000 0.0000 5.6690
Ca 0.0000 0.0000 12.5612
Ca 0.0000 0.0000 16.3344
Sc 0.0000 0.0000 9.1151
Zn 1.7926 1.7926 0.0000
Zn 1.7926 1.7926 3.7757
Zn 1.7926 1.7926 7.6599
Zn 1.7926 1.7926 10.5703
Zn 1.7926 1.7926 14.4545
```


13.
# SrLaMg2Fe

A relaxed SrLaMg2Fe crystal (PBE, Alexandria via LeMat-Bulk).

Calculated values
ΔE_f   76 meV/atom
DFT total energy   -0.2629 Ry/atom
Symmetry   No. 123
Density of states at the Fermi level   3.96 states/eV/f.u.
Crystal system   tetragonal

Cell and atoms, written as extended XYZ:
```
5
Lattice="5.3506 0.0000 0.0000 0.0000 5.3506 0.0000 0.0000 0.0000 4.8883" Properties=species:S:1:pos:R:3 pbc="T T T"
Sr 0.0000 0.0000 0.0000
La 2.6753 2.6753 0.0000
Mg 0.0000 2.6753 2.4441
Mg 2.6753 0.0000 2.4441
Fe 2.6753 2.6753 2.4441
```


14.
# Li4GeIr

A relaxed Li4GeIr crystal (PBE, Alexandria via LeMat-Bulk).

Calculated values
ΔE_f   -153 meV/atom
DFT total energy   -0.2701 Ry/atom
Symmetry   No. 51
Density of states at the Fermi level   2.81 states/eV/f.u.
ΔE to the lowest computed polymorph   174 meV per atom
Crystal system   orthorhombic

Cell and atoms, written as extended XYZ:
```
12
Lattice="5.2887 0.0000 0.0000 0.0000 4.5564 0.0000 0.0000 0.0000 7.0677" Properties=species:S:1:pos:R:3 pbc="T T T"
Li 0.0000 0.0000 0.0000
Li 0.0084 2.2782 2.3563
Li 1.3222 2.2782 6.8426
Li 2.6360 2.2782 2.3563
Li 2.6444 0.0000 0.0000
Li 2.6528 2.2782 4.7114
Li 3.9665 2.2782 0.2251
Li 5.2803 2.2782 4.7114
Ge 1.3222 0.0000 2.1343
Ge 3.9665 0.0000 4.9334
Ir 1.3222 0.0000 4.5894
Ir 3.9665 0.0000 2.4783
```


15.
# Ca3La3MgSe8

A relaxed Ca3La3MgSe8 crystal (PBE, Alexandria via LeMat-Bulk).

Calculated values
DFT total energy   -0.3837 Ry/atom
Energy relative to the elements, uncorrected   -1.870 eV/atom
Symmetry   No. 166
Density of states at the Fermi level   4.31 states/eV/f.u.
Crystal system   trigonal

Cell and atoms, written as extended XYZ:
```
15
Lattice="4.2405 2.4483 6.9157 -4.2405 2.4483 6.9157 0.0000 -4.8965 6.9157" Properties=species:S:1:pos:R:3 pbc="T T T"
Ca -2.1203 -1.2241 6.9157
Ca -2.1202 1.2241 13.8314
Ca 0.0000 2.4483 6.9157
La -4.2405 0.0000 10.3736
La -2.1202 1.2241 3.4579
La 2.1203 1.2241 3.4579
Mg 0.0000 0.0000 10.3736
Se 0.0000 0.0000 5.2486
Se 0.0000 -2.3102 8.7185
Se -2.0007 1.1551 8.7185
Se -2.0007 -1.1551 12.0287
Se 2.0007 1.1551 8.7185
Se 2.0007 -1.1551 12.0287
Se 0.0000 2.3102 12.0287
Se 0.0000 0.0000 15.4986
```


16.
# YBe2NbGe

A relaxed YBe2NbGe crystal (PBE, Alexandria via LeMat-Bulk).

Calculated values
ΔE_f   1128 meV/atom
DFT total energy   -0.3376 Ry/atom
Symmetry   No. 123
Density of states at the Fermi level   3.21 states/eV/f.u.
Crystal system   tetragonal

Cell and atoms, written as extended XYZ:
```
5
Lattice="4.5785 0.0000 0.0000 0.0000 4.5785 0.0000 0.0000 0.0000 5.1820" Properties=species:S:1:pos:R:3 pbc="T T T"
Y 0.0000 0.0000 0.0000
Be 0.0000 2.2892 2.5910
Be 2.2892 0.0000 2.5910
Nb 0.0000 0.0000 2.5910
Ge 2.2892 2.2892 0.0000
```


17.
# ErTmAl2Zn2

A relaxed ErTmAl2Zn2 crystal (PBE, Alexandria via LeMat-Bulk).

Calculated values
ΔE_f   -444 meV/atom
DFT total energy   -0.2662 Ry/atom
Symmetry   No. 164
Density of states at the Fermi level   3.05 states/eV/f.u.
Crystal system   trigonal

Cell and atoms, written as extended XYZ:
```
6
Lattice="4.4562 0.0000 0.0000 -2.2281 3.8592 0.0000 0.0000 0.0000 7.0437" Properties=species:S:1:pos:R:3 pbc="T T T"
Er 0.0000 0.0000 0.0000
Tm 0.0000 0.0000 3.5218
Al 0.0000 2.5728 1.7849
Al 2.2281 1.2864 5.2587
Zn 0.0000 2.5728 5.2471
Zn 2.2281 1.2864 1.7966
```